## Tm2Cd3Ga2 (PBE)

Data for Tm2Cd3Ga2 after structural relaxation.

Properties
* total moment: 0.00 μB per formula unit
* density: 8.7 g/cm3
* ΔE_f: -355 meV per atom
* volume: 312.4 Å³ per cell

abc: 4.2310 20.6126 3.5822
angles: 90.00 90.00 90.00
Space group Cmmm (No. 65)
Inequivalent atoms, fractional coordinates:
Tm: 0.0000 0.1638 0.0000
Cd: 0.0000 0.0000 0.0000
Cd: 0.0000 0.4267 0.5000
Ga: 0.0000 0.2858 0.5000